VASP calculation (PBE-GGA) on a relaxed Pm2Ni4Sb3Pd crystal.

Properties
- formation energy (no corrections) (eV/atom) = -0.629

Unit cell a=4.304 b=4.304 c=10.303 alpha=90.00 beta=90.00 gamma=90.00
Positions (direct):
Pm (0.500, 0.000, 0.251)
Pm (0.000, 0.500, 0.749)
Ni (0.500, 0.500, 0.000)
Ni (0.000, 0.000, 0.000)
Ni (0.500, 0.000, 0.631)
Ni (0.000, 0.500, 0.369)
Sb (0.000, 0.000, 0.500)
Sb (0.500, 0.000, 0.869)
Sb (0.000, 0.500, 0.131)
Pd (0.500, 0.500, 0.500)